[1]
Computed, not measured: a relaxed structure of KLi2WCl8 at the PBE-GGA level of DFT.

Cell: 6.3219 6.2042 8.9636 Å, 89.93 89.97 77.61°
With the nearest neighbours (Å) after each atom.
Atoms (fractional coordinates):
Li 0.5002 0.4999 0.6658  2 Cl 2.30
Cl 0.2549 0.2118 0.0005  1 W 2.29
Cl 0.1961 0.7694 0.1882  1 W 2.38, 1 Li 2.61
Cl 0.6760 0.6829 0.4997  2 Li 2.30
K 0.0000 0.0000 0.5000  6 Cl 3.13-3.26
W 0.0000 0.0000 0.0000  6 Cl 2.29-2.38
Cl 0.7451 0.7882 0.9995  1 W 2.29
Cl 0.3240 0.3171 0.5003  2 Li 2.30
Cl 0.1972 0.7702 0.8121  1 W 2.38, 1 Li 2.61
Cl 0.8039 0.2306 0.8118  1 W 2.38, 1 Li 2.61
Li 0.4998 0.5001 0.3342  2 Cl 2.30
Cl 0.8028 0.2298 0.1879  1 W 2.38, 1 Li 2.61

Output
density of states at the Fermi level = 0.327 states/eV per atom
E_form (uncorrected) = -1491 kJ/mol of formula units

---

[2]
Computed, not measured: a relaxed structure of KLiY2Cl8 at the PBE-GGA level of DFT.

Cell: 6.6865 6.6327 8.2854 Å, 90.00 90.00 83.37°
With the nearest neighbours (Å) after each atom.
Atoms (fractional coordinates):
Cl 0.2007 0.7862 0.7840  1 Li 2.56, 1 Y 2.60
Cl 0.2007 0.7862 0.2160  1 Li 2.56, 1 Y 2.60
Cl 0.7993 0.2138 0.2160  1 Li 2.56, 1 Y 2.60
Y 0.5000 0.5000 0.2420  6 Cl 2.60-2.73
Y 0.5000 0.5000 0.7580  6 Cl 2.60-2.73
Cl 0.7993 0.2138 0.7840  1 Li 2.56, 1 Y 2.60
K 0.0000 0.0000 0.5000  6 Cl 2.98-3.27
Cl 0.3368 0.3213 0.5000  2 Y 2.73
Cl 0.3251 0.3115 0.0000  2 Y 2.70
Cl 0.6749 0.6885 0.0000  2 Y 2.70
Li 0.0000 0.0000 0.0000  4 Cl 2.56
Cl 0.6632 0.6787 0.5000  2 Y 2.73

Output
density of states at the Fermi level = 0.000 states/eV per atom
E_form (uncorrected) = -2460 kJ/mol of formula units

---

[3]
Computed, not measured: a relaxed structure of KLiZn2Cl6 at the PBE-GGA level of DFT.

Cell: 7.2525 9.3067 9.3067 Å, 90.03 75.86 75.86°
With the nearest neighbours (Å) after each atom.
Atoms (fractional coordinates):
Cl 0.0623 0.6118 0.1599  1 Zn 2.27, 1 Li 2.36
Cl 0.3064 0.2065 0.0351  1 Zn 2.29, 1 Li 2.48
Zn 0.3103 0.7707 0.6172  4 Cl 2.27-2.36
Cl 0.1936 0.9649 0.7935  1 Zn 2.29, 1 Li 2.48
Cl 0.6936 0.7935 0.9649  1 Zn 2.29, 1 Li 2.48
K 0.2500 0.8815 0.1185  6 Cl 3.09-3.22
Cl 0.4667 0.4142 0.3041  2 Zn 2.31-2.36
Cl 0.5623 0.1599 0.6118  1 Zn 2.27, 1 Li 2.36
Cl 0.0333 0.6958 0.5858  2 Zn 2.31-2.36
Cl 0.8064 0.0351 0.2065  1 Zn 2.29, 1 Li 2.48
Zn 0.6897 0.2293 0.3828  4 Cl 2.27-2.36
Li 0.7500 0.7823 0.2177  4 Cl 2.36-2.48
Cl 0.5333 0.5858 0.6958  2 Zn 2.31-2.36
Cl 0.9377 0.3882 0.8401  1 Zn 2.27, 1 Li 2.36
Li 0.2500 0.2177 0.7823  4 Cl 2.36-2.48
Zn 0.1897 0.3828 0.2293  4 Cl 2.27-2.36
Cl 0.9667 0.3041 0.4142  2 Zn 2.31-2.36
Cl 0.4377 0.8401 0.3882  1 Zn 2.27, 1 Li 2.36
Zn 0.8103 0.6172 0.7707  4 Cl 2.27-2.36
K 0.7500 0.1185 0.8815  6 Cl 3.09-3.22

Output
density of states at the Fermi level = 0.000 states/eV per atom
E_form (uncorrected) = -1389 kJ/mol of formula units

---

[4]
Computed, not measured: a relaxed structure of KLi3Zn4Cl12 at the PBE-GGA level of DFT.

Cell: 8.5601 8.5601 8.5601 Å, 106.51 106.51 106.51°
With the nearest neighbours (Å) after each atom.
Atoms (fractional coordinates):
Cl 0.2303 0.3458 0.9492  1 Zn 2.21
Li 0.4402 0.0000 0.5598  6 Cl 2.57-2.65
Zn 0.0624 0.5000 0.9376  3 Cl 2.21
Li 0.5598 0.4402 0.0000  6 Cl 2.57-2.65
Cl 0.9015 0.5000 0.0985  1 Zn 2.21
Cl 0.6608 0.5000 0.3392  1 Zn 2.21
Cl 0.7697 0.0508 0.6542  1 Zn 2.21
Zn 0.5000 0.9376 0.0624  3 Cl 2.21
Cl 0.6542 0.7697 0.0508  1 Zn 2.21
Cl 0.9492 0.2303 0.3458  1 Zn 2.21
Zn 0.9376 0.0624 0.5000  3 Cl 2.21
Zn 0.5000 0.5000 0.5000  3 Cl 2.21
Cl 0.0985 0.9015 0.5000  1 Zn 2.21
Cl 0.0508 0.6542 0.7697  1 Zn 2.21
Cl 0.3392 0.6608 0.5000  1 Zn 2.21
Cl 0.5000 0.3392 0.6608  1 Zn 2.21
Cl 0.3458 0.9492 0.2303  1 Zn 2.21
Cl 0.5000 0.0985 0.9015  1 Zn 2.21
K 0.0000 0.0000 0.0000  6 Cl 3.28
Li 0.0000 0.5598 0.4402  6 Cl 2.57-2.65

Output
density of states at the Fermi level = 0.000 states/eV per atom
E_form (uncorrected) = -2630 kJ/mol of formula units

---

[5]
Computed, not measured: a relaxed structure of KLiZrCl6 at the PBE-GGA level of DFT.

Cell: 6.6603 6.6603 13.8644 Å, 90.00 90.00 120.00°
With the nearest neighbours (Å) after each atom.
Atoms (fractional coordinates):
Cl 0.0121 0.3788 0.6460  1 Zr 2.50, 1 Li 2.60
K 0.0000 0.0000 0.0000  6 Cl 3.20
Cl 0.9879 0.6212 0.3540  1 Zr 2.50, 1 Li 2.60
Li 0.6667 0.3333 0.7500  6 Cl 2.60
Cl 0.6212 0.6333 0.6460  1 Zr 2.50, 1 Li 2.60
Cl 0.3788 0.0121 0.1460  1 Zr 2.50, 1 Li 2.60
Zr 0.3333 0.6667 0.7500  6 Cl 2.50
Cl 0.9879 0.3667 0.1460  1 Zr 2.50, 1 Li 2.60
Cl 0.3667 0.9879 0.6460  1 Zr 2.50, 1 Li 2.60
K 0.0000 0.0000 0.5000  6 Cl 3.20
Cl 0.6333 0.0121 0.3540  1 Zr 2.50, 1 Li 2.60
Cl 0.3667 0.3788 0.8540  1 Zr 2.50, 1 Li 2.60
Cl 0.6333 0.6212 0.1460  1 Zr 2.50, 1 Li 2.60
Cl 0.3788 0.3667 0.3540  1 Zr 2.50, 1 Li 2.60
Cl 0.0121 0.6333 0.8540  1 Zr 2.50, 1 Li 2.60
Li 0.3333 0.6667 0.2500  6 Cl 2.60
Cl 0.6212 0.9879 0.8540  1 Zr 2.50, 1 Li 2.60
Zr 0.6667 0.3333 0.2500  6 Cl 2.50

Output
density of states at the Fermi level = 0.000 states/eV per atom
E_form (uncorrected) = -1627 kJ/mol of formula units

---

[6]
Computed, not measured: a relaxed structure of K2LuCl4 at the PBE-GGA level of DFT.

Cell: 5.2213 5.2213 8.9461 Å, 73.03 73.03 90.00°
With the nearest neighbours (Å) after each atom.
Atoms (fractional coordinates):
Lu 0.0000 0.0000 0.0000  6 Cl 2.61-2.62
K 0.3554 0.3554 0.2892  5 Cl 3.17-3.52
Cl 0.1607 0.1607 0.6786  1 Lu 2.62
Cl 0.8393 0.8393 0.3214  1 Lu 2.62
Cl 0.5000 0.0000 0.0000  2 Lu 2.61
Cl 0.0000 0.5000 0.0000  2 Lu 2.61
K 0.6446 0.6446 0.7108  5 Cl 3.17-3.52

Output
density of states at the Fermi level = 0.364 states/eV per atom
E_form (uncorrected) = -1232 kJ/mol of formula units

---

[7]
Computed, not measured: a relaxed structure of KLuNb6Cl18 at the PBE-GGA level of DFT.

Cell: 10.1618 10.1618 10.1618 Å, 55.91 55.91 55.91°
With the nearest neighbours (Å) after each atom.
Atoms (fractional coordinates):
Cl 0.8417 0.5560 0.4330  2 Nb 2.48
Cl 0.3747 0.9094 0.2186  2 Nb 2.46-2.47
Cl 0.2928 0.0403 0.8426  1 Lu 2.64, 1 Nb 2.72
Cl 0.0896 0.7825 0.6254  2 Nb 2.48
Cl 0.5668 0.1586 0.4444  2 Nb 2.47-2.48
Cl 0.8426 0.2928 0.0403  1 Lu 2.64, 1 Nb 2.72
Cl 0.1590 0.7113 0.9548  1 Lu 2.59, 1 Nb 2.70
Nb 0.6970 0.3503 0.5927  5 Cl 2.47-2.70
Cl 0.2186 0.3747 0.9094  2 Nb 2.46-2.47
Cl 0.5560 0.4330 0.8417  2 Nb 2.48
Cl 0.0403 0.8426 0.2928  1 Lu 2.64, 1 Nb 2.72
Cl 0.4330 0.8417 0.5560  2 Nb 2.48
Cl 0.4444 0.5668 0.1586  2 Nb 2.47-2.48
Nb 0.4064 0.3040 0.6499  5 Cl 2.46-2.72
K 0.7219 0.7219 0.7219  12 Cl 3.49-3.69
Cl 0.9548 0.1590 0.7113  1 Lu 2.59, 1 Nb 2.70
Nb 0.3040 0.6499 0.4064  5 Cl 2.46-2.72
Cl 0.7825 0.6254 0.0896  2 Nb 2.48
Nb 0.5927 0.6970 0.3503  5 Cl 2.47-2.70
Cl 0.6254 0.0896 0.7825  2 Nb 2.48
Cl 0.7113 0.9548 0.1590  1 Lu 2.59, 1 Nb 2.70
Nb 0.3503 0.5927 0.6970  5 Cl 2.47-2.70
Cl 0.1586 0.4444 0.5668  2 Nb 2.47-2.48
Lu 0.9990 0.9990 0.9990  6 Cl 2.59-2.64
Nb 0.6499 0.4064 0.3040  5 Cl 2.46-2.72
Cl 0.9094 0.2186 0.3747  2 Nb 2.46-2.47

Output
E_form (uncorrected) = -3733 kJ/mol of formula units

---

[8]
Computed, not measured: a relaxed structure of KRb2LuCl6 at the PBE-GGA level of DFT.

Cell: 7.8795 7.8782 7.8782 Å, 59.95 59.96 59.96°
With the nearest neighbours (Å) after each atom.
Atoms (fractional coordinates):
Lu 0.0000 0.0000 0.0000  6 Cl 2.58
Cl 0.7684 0.2315 0.2315  1 Lu 2.58
Cl 0.2314 0.7683 0.2315  1 Lu 2.58
Cl 0.7686 0.2317 0.7685  1 Lu 2.58
K 0.5000 0.5000 0.5000  6 Cl 2.99
Rb 0.2500 0.2501 0.2501  12 Cl 3.94-3.95
Cl 0.2316 0.7685 0.7685  1 Lu 2.58
Rb 0.7501 0.7499 0.7499  12 Cl 3.94-3.95
Cl 0.7686 0.7685 0.2317  1 Lu 2.58
Cl 0.2314 0.2315 0.7683  1 Lu 2.58

Output
density of states at the Fermi level = 0.000 states/eV per atom
E_form (uncorrected) = -2037 kJ/mol of formula units

---

[9]
Computed, not measured: a relaxed structure of KMgCl2 at the PBE-GGA level of DFT.

Cell: 5.2557 3.9733 5.2572 Å, 90.00 90.00 90.00°
With the nearest neighbours (Å) after each atom.
Atoms (fractional coordinates):
Cl 0.5000 0.0013 0.3748  2 Mg 2.62-2.63
Cl 0.0000 0.0017 0.8746  2 Mg 2.63
K 0.0000 0.5016 0.3751  8 Cl 3.29-3.30
Mg 0.5000 0.9955 0.8755  4 Cl 2.62-2.63

Output
density of states at the Fermi level = 0.321 states/eV per atom
E_form (uncorrected) = -533 kJ/mol of formula units
energy above the lowest structure with this stoichiometry = 0 meV/atom

---

[10]
Computed, not measured: a relaxed structure of KMgCl at the PBE-GGA level of DFT.

Cell: 5.5550 5.5550 5.5550 Å, 60.00 60.00 60.00°
With the nearest neighbours (Å) after each atom.
Atoms (fractional coordinates):
Cl 0.7500 0.7500 0.7500  4 K 3.40, 4 Mg 3.40
Mg 0.5000 0.5000 0.5000  4 Cl 3.40
K 0.0000 0.0000 0.0000  4 Cl 3.40

Output
E_form (uncorrected) = -194 kJ/mol of formula units
energy above the lowest structure with this stoichiometry = 159 meV/atom

---

[11]
Computed, not measured: a relaxed structure of KMgCl2 at the PBE-GGA level of DFT.

Cell: 5.3669 5.3669 5.3669 Å, 60.00 60.00 60.00°
With the nearest neighbours (Å) after each atom.
Atoms (fractional coordinates):
Mg 0.7500 0.7500 0.7500  4 Cl 3.29, 4 K 3.29
K 0.5000 0.5000 0.5000  4 Mg 3.29, 4 Cl 3.29
Cl 0.0000 0.0000 0.0000  4 Cl 3.29, 4 Mg 3.29
Cl 0.2500 0.2500 0.2500  4 Cl 3.29, 4 K 3.29

Output
density of states at the Fermi level = 0.678 states/eV per atom
E_form (uncorrected) = -285 kJ/mol of formula units
energy above the lowest structure with this stoichiometry = 643 meV/atom

---

[12]
Computed, not measured: a relaxed structure of K2MgCl at the PBE-GGA level of DFT.

Cell: 10.4474 10.4474 10.4474 Å, 158.53 157.65 31.18°
With the nearest neighbours (Å) after each atom.
Atoms (fractional coordinates):
Mg 0.4439 0.4439 0.0000  4 Mg 3.89-4.05, 6 K 3.91-3.96
Cl 0.2025 0.7025 0.5000  6 K 3.15-3.16
K 0.0791 0.0791 0.0000  2 Cl 3.15
K 0.7745 0.2745 0.5000  4 Cl 3.16

Output
density of states at the Fermi level = 0.279 states/eV per atom
E_form (uncorrected) = -292 kJ/mol of formula units
energy above the lowest structure with this stoichiometry = 31 meV/atom

---

[13]
Computed, not measured: a relaxed structure of K2MgCl at the PBE-GGA level of DFT.

Cell: 6.0553 6.0553 4.1278 Å, 90.03 90.03 94.77°
With the nearest neighbours (Å) after each atom.
Atoms (fractional coordinates):
Mg 0.5000 0.0000 0.5000  8 K 3.66, 2 Cl 4.10
K 0.0000 0.0000 0.0000  4 Mg 3.66, 4 Cl 3.66, 2 K 4.10
Cl 0.0000 0.5000 0.5000  8 K 3.66, 2 Mg 4.10
K 0.5000 0.5000 0.0000  4 Cl 3.66, 4 Mg 3.66, 2 K 4.10

Output
density of states at the Fermi level = 0.640 states/eV per atom
E_form (uncorrected) = -226 kJ/mol of formula units
energy above the lowest structure with this stoichiometry = 201 meV/atom

---

[14]
Computed, not measured: a relaxed structure of K3Mg2Cl7 at the PBE-GGA level of DFT.

Cell: 5.0180 5.0180 13.3145 Å, 100.87 100.87 90.00°
With the nearest neighbours (Å) after each atom.
Atoms (fractional coordinates):
K 0.1823 0.1823 0.3644  5 Cl 3.13-3.34
K 0.8177 0.8177 0.6356  5 Cl 3.13-3.34
Cl 0.6960 0.6960 0.3913  1 Mg 2.47
Cl 0.4036 0.9035 0.8077  2 Mg 2.51
Cl 0.9035 0.4036 0.8077  2 Mg 2.51
K 0.0000 0.0000 0.0000  12 Cl 3.52-3.55
Cl 0.5000 0.5000 0.0000  2 Mg 2.55
Mg 0.3998 0.3998 0.8011  6 Cl 2.47-2.55
Cl 0.3040 0.3040 0.6087  1 Mg 2.47
Cl 0.0965 0.5964 0.1923  2 Mg 2.51
Cl 0.5964 0.0965 0.1923  2 Mg 2.51
Mg 0.6002 0.6002 0.1989  6 Cl 2.47-2.55

Output
density of states at the Fermi level = 0.000 states/eV per atom
E_form (uncorrected) = -2208 kJ/mol of formula units

---

[15]
Computed, not measured: a relaxed structure of KMgCl at the PBE-GGA level of DFT.

Cell: 4.0940 4.0940 6.9128 Å, 90.00 90.00 120.00°
With the nearest neighbours (Å) after each atom.
Atoms (fractional coordinates):
Cl 0.0000 0.0000 0.9970  3 Mg 3.06, 3 K 3.10
K 0.6667 0.3333 0.2869  3 Cl 3.10
Mg 0.3333 0.6667 0.7161  3 Cl 3.06

Output
density of states at the Fermi level = 0.046 states/eV per atom
E_form (uncorrected) = -240 kJ/mol of formula units
energy above the lowest structure with this stoichiometry = 0 meV/atom

---

[16]
Computed, not measured: a relaxed structure of K2MgCl at the PBE-GGA level of DFT.

Cell: 6.1194 6.1194 6.1194 Å, 60.00 60.00 60.00°
With the nearest neighbours (Å) after each atom.
Atoms (fractional coordinates):
K 0.2500 0.2500 0.2500  4 Cl 3.75, 4 K 3.75
Cl 0.5000 0.5000 0.5000  4 K 3.75, 4 Mg 3.75
K 0.0000 0.0000 0.0000  4 K 3.75, 4 Mg 3.75
Mg 0.7500 0.7500 0.7500  4 Cl 3.75, 4 K 3.75

Output
density of states at the Fermi level = 0.824 states/eV per atom
E_form (uncorrected) = -133 kJ/mol of formula units
energy above the lowest structure with this stoichiometry = 441 meV/atom

---

[17]
Computed, not measured: a relaxed structure of KMgCl2 at the PBE-GGA level of DFT.

Cell: 4.4556 4.4556 8.1663 Å, 90.00 90.00 125.27°
With the nearest neighbours (Å) after each atom.
Atoms (fractional coordinates):
Cl 0.0000 0.0000 0.5249  2 Mg 2.75, 2 K 3.04
Mg 0.5000 0.5000 0.7500  4 Cl 2.75
K 0.5000 0.5000 0.2500  4 Cl 3.04
Cl 0.0000 0.0000 0.9751  2 Mg 2.75, 2 K 3.04

Output
density of states at the Fermi level = 0.361 states/eV per atom
E_form (uncorrected) = -464 kJ/mol of formula units
energy above the lowest structure with this stoichiometry = 179 meV/atom

---

[18]
Computed, not measured: a relaxed structure of K2MgCl at the PBE-GGA level of DFT.

Cell: 11.2111 11.2111 11.2111 Å, 21.98 21.98 21.98°
With the nearest neighbours (Å) after each atom.
Atoms (fractional coordinates):
K 0.7620 0.7620 0.7620  3 Mg 3.88, 6 K 4.27
K 0.9710 0.9710 0.9710  3 Cl 3.10
Mg 0.5199 0.5199 0.5199  3 Cl 3.17
Cl 0.2470 0.2470 0.2470  3 K 3.10, 3 Mg 3.17

Output
density of states at the Fermi level = 0.328 states/eV per atom
E_form (uncorrected) = -228 kJ/mol of formula units
energy above the lowest structure with this stoichiometry = 194 meV/atom

---

[19]
Computed, not measured: a relaxed structure of K2MgCl3 at the PBE-GGA level of DFT.

Cell: 4.1999 5.1025 8.8910 Å, 106.68 103.66 90.00°
With the nearest neighbours (Å) after each atom.
Atoms (fractional coordinates):
Cl 0.1582 0.1582 0.3164  1 Mg 2.61
Cl 0.8418 0.8418 0.6836  1 Mg 2.61
Mg 0.0000 0.0000 0.0000  4 Cl 2.55-2.61
Cl 0.0000 0.5000 0.0000  2 Mg 2.55
K 0.3520 0.3520 0.7041  7 Cl 3.20-3.31
K 0.6480 0.6480 0.2959  7 Cl 3.20-3.31

Output
density of states at the Fermi level = 0.168 states/eV per atom
E_form (uncorrected) = -908 kJ/mol of formula units

---

[20]
Computed, not measured: a relaxed structure of K3Mg2Cl7 at the PBE-GGA level of DFT.

Cell: 4.9486 5.0497 13.3870 Å, 100.87 90.00 90.00°
With the nearest neighbours (Å) after each atom.
Atoms (fractional coordinates):
Cl 0.0000 0.5935 0.1869  2 Mg 2.53
Mg 0.0000 0.0981 0.1962  6 Cl 2.45-2.58
K 0.5000 0.5000 0.0000  12 Cl 3.49-3.54
Cl 0.5000 0.9061 0.8121  2 Mg 2.48
Cl 0.0000 0.1913 0.3827  1 Mg 2.45
Cl 0.5000 0.0939 0.1879  2 Mg 2.48
K 0.5000 0.3232 0.6464  8 Cl 3.31-3.56
Cl 0.0000 0.0000 0.0000  2 Mg 2.58
K 0.5000 0.6768 0.3536  8 Cl 3.31-3.56
Mg 0.0000 0.9019 0.8038  6 Cl 2.45-2.58
Cl 0.0000 0.4065 0.8131  2 Mg 2.53
Cl 0.0000 0.8087 0.6173  1 Mg 2.45

Output
density of states at the Fermi level = 0.000 states/eV per atom
E_form (uncorrected) = -2177 kJ/mol of formula units